RbNaBi | Alexandria | PBE | optimized geometry; crystal system = trigonal; formation energy = -0.28 eV/atom; calculated volume = 38.07 Å³/atom; space group = P3m1 (156); ρ = 4.62 g cm⁻³; energy relative to the lowest polymorph listed for this composition = 28 meV per atom
1.0
3.9293 0.0000 0.0000
0.0000 5.7934 0.0000
0.0000 -2.8967 5.0173
Na Bi Rb
1 1 1
Cartesian
0.6514 2.8967 1.6724
0.6579 0.0000 0.0000
2.6200 0.0000 3.3448

=====

Rb3Na4Bi4 | Alexandria | PBE | optimized geometry; crystal system = orthorhombic; formation energy = -0.28 eV/atom; calculated volume = 39.62 Å³/atom; space group = Immm (71); ρ = 4.51 g cm⁻³
1.0
5.5586 0.0000 0.0000
0.0000 8.4344 0.0000
-2.7793 -4.2172 9.2956
Rb Na Bi
3 4 4
Cartesian
0.0000 0.0000 2.4562
2.7793 4.2172 6.8394
0.0000 4.2172 0.0000
0.0000 -1.7280 6.0131
2.7793 2.4892 3.2825
2.7793 5.9452 3.2825
0.0000 1.7280 6.0131
0.0000 4.2172 3.8092
2.7793 0.0000 5.4865
2.7793 6.9889 0.0000
2.7793 1.4455 0.0000

=====

RbNa3Bi | Alexandria | PBE | optimized geometry; crystal system = cubic; formation energy = -0.19 eV/atom; calculated volume = 47.58 Å³/atom; space group = Pm-3m (221); ρ = 2.54 g cm⁻³; energy relative to the lowest polymorph listed for this composition = 47 meV per atom
1.0
-2.8605 4.1051 -3.6548
-5.0361 -0.3072 3.5965
2.2016 4.6309 3.4784
Na Bi Rb
3 1 1
Cartesian
-2.5181 -0.1536 1.7983
1.1008 2.3155 1.7392
-1.4302 2.0525 -1.8274
0.0000 0.0000 0.0000
-2.8475 4.2144 1.7101

=====

Rb2NaBi | Alexandria | PBE | optimized geometry; crystal system = orthorhombic; formation energy = -0.35 eV/atom; calculated volume = 47.05 Å³/atom; space group = Cmcm (63); ρ = 3.55 g cm⁻³
1.0
6.8687 0.0000 0.0000
0.0000 7.2839 -1.5841
0.0000 0.3593 7.4455
Rb Na Bi
4 2 2
Cartesian
5.1515 7.1337 0.7568
1.7172 0.5095 5.1046
1.7172 5.0621 -0.8319
5.1515 2.5811 6.6933
3.4343 3.8216 2.9307
0.0000 3.8216 2.9307
1.7172 1.7501 1.3421
5.1515 5.8931 4.5193

=====

RbNaBi3 | Alexandria | PBE | optimized geometry; crystal system = cubic; formation energy = 0.89 eV/atom; calculated volume = 49.37 Å³/atom; space group = Pm-3m (221); ρ = 4.95 g cm⁻³; energy relative to the lowest polymorph listed for this composition = 1027 meV per atom
1.0
6.2732 0.0000 0.0000
0.0000 6.2732 0.0000
0.0000 0.0000 6.2732
Na Bi Rb
1 3 1
Cartesian
3.1366 3.1366 3.1366
0.0000 3.1366 0.0000
0.0000 0.0000 3.1366
3.1366 0.0000 0.0000
0.0000 0.0000 0.0000

=====

Rb2Na4Bi | Alexandria | PBE | optimized geometry; crystal system = tetragonal; formation energy = -0.09 eV/atom; calculated volume = 54.89 Å³/atom; space group = I4/mmm (139); ρ = 2.04 g cm⁻³
1.0
-4.1322 3.1042 3.2658
-2.7631 -5.2460 1.4904
9.4316 0.2830 5.9423
Na Bi Rb
4 1 2
Cartesian
0.7114 -1.6185 8.1611
1.8249 -0.2403 2.5374
-1.3815 -2.6230 0.7452
-2.0661 1.5521 1.6329
0.0000 0.0000 0.0000
-1.6312 -1.3101 4.9038
4.1674 -0.5487 5.7947

=====

Rb2NaBi | Alexandria | PBE | optimized geometry; crystal system = tetragonal; formation energy = -0.10 eV/atom; calculated volume = 45.96 Å³/atom; space group = P4/mmm (123); ρ = 3.64 g cm⁻³
1.0
-0.3758 0.5048 4.2879
-6.4711 -0.5385 -0.5038
0.4741 -6.4462 0.8004
Na Bi Rb
1 1 2
Cartesian
-3.1864 -3.2399 2.2923
-0.1879 0.2524 2.1440
0.2370 -3.2231 0.4002
-3.2356 -0.2692 -0.2519

=====

RbNa4Bi4 | Alexandria | PBE | optimized geometry; crystal system = tetragonal; formation energy = -0.17 eV/atom; calculated volume = 40.51 Å³/atom; space group = P4_2/n (86); ρ = 4.62 g cm⁻³
1.0
-1.6190 -5.4640 2.8865
9.2141 -4.3952 -3.1519
4.6819 3.3646 8.9950
Rb Na Bi
2 8 8
Cartesian
0.0000 0.0000 0.0000
6.1385 -3.2473 4.3648
6.7217 -0.6549 7.8044
8.3691 -4.6657 8.2051
5.9663 -4.4523 0.1924
4.0986 0.7722 5.5555
10.0463 -5.0762 4.8894
9.3862 -3.1901 1.0206
2.6999 -5.9056 2.6782
1.8196 -2.8057 4.5731
8.1841 -5.9023 2.2642
3.6857 -1.9666 7.1914
10.6960 -2.1097 3.7836
5.5156 -3.3802 9.0549
5.5495 -7.2042 1.8352
3.3457 -2.9521 1.5793
9.3385 -2.1683 6.4244
2.7928 -0.2952 2.7855

=====

Rb2NaBi | Alexandria | PBE | optimized geometry; crystal system = monoclinic; formation energy = -0.30 eV/atom; calculated volume = 55.94 Å³/atom; space group = C2/m (12); ρ = 2.99 g cm⁻³
1.0
-5.7780 -0.9288 -2.8871
0.4896 -5.9813 0.9427
-0.1824 7.0181 5.4880
Rb Na Bi
2 1 1
Cartesian
-0.5655 -3.4254 2.2334
-4.6521 0.4350 1.7986
-2.9439 5.0045 4.2883
-2.5177 -5.0042 -0.7280

=====

RbNa2Bi4 | Alexandria | PBE | optimized geometry; crystal system = tetragonal; formation energy = -0.20 eV/atom; calculated volume = 35.23 Å³/atom; space group = I4/mmm (139); ρ = 6.51 g cm⁻³
1.0
-3.9406 -5.2357 -1.8830
2.7236 -5.1514 -3.7200
-0.5363 -5.5201 4.1273
Rb Na Bi
1 2 4
Cartesian
0.0000 0.0000 0.0000
-1.8618 -9.2625 -1.2086
0.1085 -6.6446 -0.2671
-3.0429 -7.0526 1.2902
-1.4340 -3.7032 0.9541
-0.2149 -3.5653 -1.9806
-1.0021 -6.8218 -3.6224

=====

Rb3NaBi | Alexandria | PBE | optimized geometry; crystal system = orthorhombic; formation energy = -0.14 eV/atom; calculated volume = 52.19 Å³/atom; space group = Ima2 (46); ρ = 3.11 g cm⁻³; energy relative to the lowest polymorph listed for this composition = 0 meV per atom
1.0
-2.4636 3.2912 8.3024
-5.1139 -5.4081 -5.5164
6.1801 -6.8439 -0.8933
Rb Na Bi
6 2 2
Cartesian
3.0791 -6.3093 -1.8025
-2.5233 -6.1046 -4.3825
-0.7253 -7.3528 -0.4408
0.3394 -3.4146 -0.9183
-1.2138 -1.7400 2.4956
-2.1932 -5.6738 2.9788
-1.4535 1.5834 4.2331
3.4011 -9.6097 -3.5703
-3.7087 -4.2189 -0.0541
1.8649 -4.8666 2.1109

=====

Rb3Na5Bi2 | Alexandria | PBE | optimized geometry; crystal system = orthorhombic; formation energy = -0.19 eV/atom; calculated volume = 42.81 Å³/atom; space group = Ibam (72); ρ = 3.06 g cm⁻³
1.0
-1.5335 -0.6858 -6.5767
9.4476 -4.7121 -5.2144
-6.0497 -10.0479 -1.0446
Rb Na Bi
6 10 4
Cartesian
-0.3834 -0.1714 -1.6442
-1.1501 -0.5143 -4.9326
-2.4879 -10.1708 -5.3651
4.3524 -5.2749 -7.4706
4.3800 -7.8851 -10.7077
-2.5156 -7.5607 -2.1280
1.3156 -7.5514 -4.7737
0.5489 -7.8943 -8.0620
1.7517 -11.3274 -7.9845
-0.6540 -4.4613 -8.1396
0.1127 -4.1184 -4.8512
2.5185 -10.9845 -4.6962
3.4076 -3.5312 -3.9292
-1.5432 -11.9146 -8.9065
-2.8153 -5.7527 -5.7495
4.6797 -9.6931 -7.0862
0.3415 -13.0953 -5.7199
1.5230 -2.3505 -7.1158
3.9885 -11.9185 -10.1959
-2.1241 -3.5273 -2.6398

=====

RbNaBi | Alexandria | PBE | optimized geometry; crystal system = triclinic; formation energy = -0.30 eV/atom; calculated volume = 39.49 Å³/atom; space group = P-1 (2); ρ = 4.45 g cm⁻³; energy relative to the lowest polymorph listed for this composition = 0 meV per atom
1.0
5.6499 0.5055 -0.0706
3.3149 6.0321 -1.0239
-0.1802 -2.3059 7.7057
Rb Na Bi
2 2 2
Cartesian
4.1055 0.3496 2.8135
4.6792 3.8821 3.7978
3.9977 -0.6957 7.1776
4.7870 4.9274 -0.5663
1.8360 1.4231 5.7829
6.9487 2.8087 0.8284

=====

Rb3NaBi | Alexandria | PBE | optimized geometry; crystal system = cubic; formation energy = -0.05 eV/atom; calculated volume = 76.37 Å³/atom; space group = Pm-3m (221); ρ = 2.12 g cm⁻³; energy relative to the lowest polymorph listed for this composition = 96 meV per atom
1.0
-5.6349 2.6935 -3.6912
1.1849 -4.7986 -5.3105
-4.4131 -4.7276 3.2872
Na Bi Rb
1 1 3
Cartesian
-4.4315 -3.4164 -2.8572
0.0000 0.0000 0.0000
0.5925 -2.3993 -2.6552
-2.2065 -2.3638 1.6436
-2.8174 1.3467 -1.8456

=====

RbNaBi3 | Alexandria | PBE | optimized geometry; crystal system = orthorhombic; formation energy = -0.14 eV/atom; calculated volume = 37.74 Å³/atom; space group = Cmcm (63); ρ = 6.47 g cm⁻³; energy relative to the lowest polymorph listed for this composition = 0 meV per atom
1.0
-1.1636 5.0005 3.2869
3.4053 -3.1890 6.0572
5.3811 4.7638 -5.3425
Rb Na Bi
2 2 6
Cartesian
5.2100 3.7113 -0.9751
2.4128 2.8641 4.9767
0.0000 0.0000 0.0000
-0.5818 2.5003 1.6434
5.8231 1.6293 2.4094
1.7997 4.9460 1.5922
2.6134 1.5623 1.3750
5.0094 5.0130 2.6266
4.5919 -0.2906 4.8943
3.0309 6.8659 -0.8928

=====

Rb2Na2Bi3 | Alexandria | PBE | optimized geometry; crystal system = monoclinic; formation energy = -0.31 eV/atom; calculated volume = 39.10 Å³/atom; space group = C2/m (12); ρ = 5.12 g cm⁻³
1.0
5.4435 0.0000 0.0000
-2.7218 6.7679 -0.2781
0.0000 -3.8973 7.5897
Rb Na Bi
2 2 3
Cartesian
2.7218 3.8516 1.4254
0.0000 -0.9810 5.8862
2.7218 2.0812 5.3704
0.0000 0.7894 1.9413
2.7218 0.0000 0.0000
2.7218 -0.5179 3.2818
0.0000 3.3885 4.0298

=====

RbNaBi | Alexandria | PBE | optimized geometry; crystal system = orthorhombic; formation energy = -0.24 eV/atom; calculated volume = 46.21 Å³/atom; space group = Immm (71); ρ = 3.80 g cm⁻³; energy relative to the lowest polymorph listed for this composition = 60 meV per atom
1.0
4.8693 0.0000 -1.3532
-0.9430 6.4642 -3.3932
-0.2109 0.3333 8.6786
Rb Na Bi
2 2 2
Cartesian
2.6844 4.6996 0.2221
1.0311 2.0979 3.7102
-0.7471 5.1218 -2.6885
-0.1958 1.3424 -0.7046
2.8029 0.7492 0.6484
0.9126 6.0483 3.2839

=====

RbNaBi | Alexandria | PBE | optimized geometry; crystal system = tetragonal; formation energy = -0.18 eV/atom; calculated volume = 43.42 Å³/atom; space group = I4_1md (109); ρ = 4.05 g cm⁻³; energy relative to the lowest polymorph listed for this composition = 120 meV per atom
1.0
5.0340 0.0000 0.0000
0.0000 5.0340 0.0000
-2.5170 -2.5170 10.2804
Bi Na Rb
2 2 2
Cartesian
2.5170 2.5170 6.9414
0.0000 2.5170 1.8011
0.0000 2.5170 5.0445
2.5170 2.5170 10.1847
0.0000 0.0000 8.5749
2.5170 0.0000 3.4347

=====

Rb2NaBi | Alexandria | PBE | optimized geometry; crystal system = trigonal; formation energy = 0.19 eV/atom; calculated volume = 50.61 Å³/atom; space group = R-3m (166); ρ = 3.31 g cm⁻³
1.0
4.0164 0.0000 0.0000
2.0082 3.4783 0.0000
2.0082 1.1594 14.4897
Na Bi Rb
1 1 2
Cartesian
4.0164 2.3189 7.2449
0.0000 0.0000 0.0000
2.0082 1.1595 10.9563
6.0247 3.4783 3.5335

=====

RbNa5Bi2 | Alexandria | PBE | optimized geometry; crystal system = orthorhombic; formation energy = -0.33 eV/atom; calculated volume = 40.15 Å³/atom; space group = Immm (71); ρ = 3.20 g cm⁻³
1.0
-0.1493 5.1913 -1.4564
-2.8848 4.4886 6.3076
6.4317 3.9346 3.3775
Rb Na Bi
1 5 2
Cartesian
0.0000 0.0000 0.0000
1.7735 4.2116 4.8426
-0.6445 6.2768 2.4637
4.0421 7.3378 5.7651
0.7901 7.5312 6.7879
2.6075 6.0834 1.4409
2.5666 10.2270 6.2270
0.8310 3.3876 2.0017

=====

RbNa3Bi2 | Alexandria | PBE | optimized geometry; crystal system = monoclinic; formation energy = -0.31 eV/atom; calculated volume = 35.43 Å³/atom; space group = C2/m (12); ρ = 4.47 g cm⁻³
1.0
-2.6363 -1.9079 -4.6387
-1.5127 -5.1751 6.4491
-6.0167 8.6705 -0.1467
Rb Na Bi
2 6 4
Cartesian
-9.0886 3.2173 0.3812
-1.0771 -1.6298 1.2825
-4.5830 0.4938 2.4015
-7.8778 -0.6705 1.2921
-5.9386 4.1546 -1.7945
-4.2271 -2.5670 3.4582
-2.2879 2.2581 0.3715
-5.5828 1.0937 -0.7378
-7.4432 2.0047 3.4057
-2.7225 -0.4172 -1.7420
-5.0694 -2.0373 0.2582
-5.0963 3.6248 1.4055

=====

RbNa3Bi | Alexandria | PBE | optimized geometry; crystal system = orthorhombic; formation energy = -0.21 eV/atom; calculated volume = 46.16 Å³/atom; space group = Imma (74); ρ = 2.61 g cm⁻³; energy relative to the lowest polymorph listed for this composition = 28 meV per atom
1.0
-5.1638 -4.7028 6.0527
0.9319 -6.8257 -4.5084
7.0996 4.3581 2.3869
Rb Na Bi
2 6 2
Cartesian
2.6275 -1.6971 0.9230
0.2402 -5.4734 3.0083
3.0307 -0.7544 5.5274
5.6125 1.5970 2.5010
-2.7448 -8.7675 1.4303
-0.1629 -6.4160 -1.5961
3.0604 -4.8678 -1.1712
-0.1927 -2.3027 5.1025
0.4659 -3.4128 -2.2542
-2.5819 -2.3514 3.0264

=====

RbNaBi | Alexandria | PBE | optimized geometry; crystal system = tetragonal; formation energy = -0.24 eV/atom; calculated volume = 40.74 Å³/atom; space group = I4mm (107); ρ = 4.31 g cm⁻³; energy relative to the lowest polymorph listed for this composition = 65 meV per atom
1.0
4.3537 0.0000 0.0000
0.0000 4.3537 0.0000
-2.1769 -2.1769 6.4487
Na Bi Rb
1 1 1
Cartesian
0.0000 0.0000 4.2488
2.1769 2.1769 5.3483
2.1769 2.1769 1.3658

=====

Rb3Na3Bi2 | Alexandria | PBE | optimized geometry; crystal system = orthorhombic; formation energy = -0.31 eV/atom; calculated volume = 45.65 Å³/atom; space group = Pnma (62); ρ = 3.38 g cm⁻³; energy relative to the lowest polymorph listed for this composition = 0 meV per atom
1.0
7.1013 0.0000 0.0000
0.0000 10.4736 0.0000
0.0000 0.0000 19.6426
Rb Na Bi
12 12 8
Cartesian
0.7430 4.9130 7.8614
4.2937 0.3238 11.7812
6.3583 5.5606 17.6827
2.8076 10.1498 1.9599
6.3583 5.5606 11.7812
2.8076 10.1498 7.8614
0.7430 4.9130 1.9599
4.2937 0.3238 17.6827
4.5929 3.5891 4.9107
1.0423 1.6477 14.7320
2.5084 6.8845 14.7320
6.0590 8.8259 4.9107
0.5330 1.6687 4.9107
4.0837 3.5681 14.7320
6.5683 8.8050 14.7320
3.0176 6.9055 4.9107
4.3071 3.5866 9.0537
0.7564 1.6502 10.5889
2.7942 6.8870 18.8751
6.3449 8.8234 0.7676
2.7942 6.8870 10.5889
6.3449 8.8234 9.0537
4.3071 3.5866 0.7676
0.7564 1.6502 18.8751
6.3515 1.3644 7.7180
2.8008 3.8724 11.9246
0.7498 9.1092 17.5393
4.3005 6.6012 2.1033
0.7498 9.1092 11.9246
4.3005 6.6012 7.7180
6.3515 1.3644 2.1033
2.8008 3.8724 17.5393